1.
Material: Hg2HSO6
Method: DFT, PBE-GGA
State: relaxed

Calculated values
total moment = 1.1 μB per cell
calculated total energy = -4.519 eV/atom

abc: 5.3895 5.7842 5.8202
angles: 105.09 102.42 108.38
Closest atoms and distances in Å follow each position.
Element x y z (fractional)
1 Hg 0.0000 0.0000 0.0000  2 O 2.06-2.09
2 Hg 0.0170 0.5065 0.5168  2 O 2.08-2.09
3 H 0.0276 0.4771 0.0568  1 O 1.02
4 S 0.4086 0.1307 0.6026  4 O 1.48-1.53
5 O 0.0966 0.0131 0.5064  1 S 1.51
6 O 0.0998 0.3970 0.1783  1 H 1.02
7 O 0.4722 0.4113 0.7620  1 S 1.53
8 O 0.5089 0.9951 0.7604  1 S 1.48
9 O 0.5208 0.1272 0.3923  1 S 1.48
10 O 0.9479 0.6161 0.8595  1 H 1.62

2.
Material: Hg3H4S2O11
Method: DFT, PBE-GGA
State: relaxed

Calculated values
total moment = 0.0 μB per cell
calculated total energy = -4.821 eV/atom

abc: 5.7999 5.7999 15.1623
angles: 95.79 95.79 102.89
Closest atoms and distances in Å follow each position.
Element x y z (fractional)
1 Hg 0.0000 0.5000 0.5000  6 O 2.24-2.50
2 Hg 0.1856 0.3128 0.1521  2 O 2.11-2.13
3 Hg 0.3128 0.1856 0.6521  2 O 2.11-2.13
4 Hg 0.5000 0.0000 0.0000  6 O 2.24-2.50
5 Hg 0.6872 0.8144 0.3479  2 O 2.11-2.13
6 Hg 0.8144 0.6872 0.8479  2 O 2.11-2.13
7 H 0.1020 0.7237 0.3560  1 O 1.00
8 H 0.1474 0.6730 0.7120  1 O 0.99
9 H 0.2763 0.8980 0.1440  1 O 1.00
10 H 0.3270 0.8526 0.7880  1 O 0.99
11 H 0.6730 0.1474 0.2120  1 O 0.99
12 H 0.7237 0.1020 0.8560  1 O 1.00
13 H 0.8526 0.3270 0.2880  1 O 0.99
14 H 0.8980 0.2763 0.6440  1 O 1.00
15 S 0.1921 0.3775 0.8947  4 O 1.47-1.57
16 S 0.3775 0.1921 0.3947  4 O 1.47-1.57
17 S 0.6225 0.8079 0.6053  4 O 1.47-1.57
18 S 0.8079 0.6225 0.1053  4 O 1.47-1.57
19 O 0.0517 0.3845 0.6356  1 H 1.00
20 O 0.0592 0.6312 0.1564  1 S 1.57
21 O 0.1481 0.1568 0.4331  1 S 1.49
22 O 0.1568 0.1481 0.9331  1 S 1.49
23 O 0.1717 0.8283 0.7500  2 H 0.99
24 O 0.2521 0.5829 0.9655  1 S 1.47
25 O 0.3647 0.3950 0.8291  1 S 1.48
26 O 0.3688 0.9408 0.3436  1 S 1.57
27 O 0.3845 0.0517 0.1356  1 H 1.00
28 O 0.3950 0.3647 0.3291  1 S 1.48
29 O 0.4171 0.7479 0.5345  1 S 1.47
30 O 0.5829 0.2521 0.4655  1 S 1.47
31 O 0.6050 0.6353 0.6709  1 S 1.48
32 O 0.6155 0.9483 0.8644  1 H 1.00
33 O 0.6312 0.0592 0.6564  1 S 1.57
34 O 0.6353 0.6050 0.1709  1 S 1.48
35 O 0.7479 0.4171 0.0345  1 S 1.47
36 O 0.8283 0.1717 0.2500  2 H 0.99
37 O 0.8432 0.8519 0.0669  1 S 1.49
38 O 0.8519 0.8432 0.5669  1 S 1.49
39 O 0.9408 0.3688 0.8436  1 S 1.57
40 O 0.9483 0.6155 0.3644  1 H 1.00

3.
Material: HgHS2O8
Method: DFT, PBE-GGA
State: relaxed

Calculated values
total moment = 1.0 μB per cell
calculated total energy = -4.999 eV/atom

abc: 5.8983 5.8983 6.9338
angles: 115.56 115.56 47.87
Closest atoms and distances in Å follow each position.
Element x y z (fractional)
1 Hg 0.0000 0.0000 0.0000  2 O 2.07
2 H 0.5000 0.5000 0.5000  4 O 1.69
3 S 0.1868 0.1868 0.7209  4 O 1.47-1.52
4 S 0.8132 0.8132 0.2791  4 O 1.47-1.52
5 O 0.1264 0.6208 0.4162  1 S 1.49
6 O 0.1624 0.1624 0.9199  1 S 1.52
7 O 0.3404 0.3404 0.8093  1 S 1.47
8 O 0.3792 0.8736 0.5838  1 S 1.49
9 O 0.6208 0.1264 0.4162  1 S 1.49
10 O 0.6596 0.6596 0.1907  1 S 1.47
11 O 0.8376 0.8376 0.0801  1 S 1.52
12 O 0.8736 0.3792 0.5838  1 S 1.49

4.
Material: Zn2Hg2H2S2O11
Method: DFT, PBE-GGA
State: relaxed

Calculated values
total moment = 0.0 μB per cell
calculated total energy = -4.975 eV/atom

abc: 6.2215 11.4206 13.2643
angles: 90.00 90.00 90.00
Closest atoms and distances in Å follow each position.
Element x y z (fractional)
1 Zn 0.0239 0.1668 0.1243  6 O 2.07-2.25
2 Zn 0.0239 0.1668 0.3757  6 O 2.07-2.25
3 Zn 0.0239 0.3332 0.6243  6 O 2.07-2.25
4 Zn 0.0239 0.3332 0.8757  6 O 2.07-2.25
5 Zn 0.9761 0.6668 0.1243  6 O 2.07-2.25
6 Zn 0.9761 0.6668 0.3757  6 O 2.07-2.25
7 Zn 0.9761 0.8332 0.6243  6 O 2.07-2.25
8 Zn 0.9761 0.8332 0.8757  6 O 2.07-2.25
9 Hg 0.2033 0.0817 0.7500  2 O 2.10-2.12
10 Hg 0.2033 0.4183 0.2500  2 O 2.10-2.12
11 Hg 0.4743 0.6683 0.2500  2 O 2.06-2.07
12 Hg 0.4743 0.8317 0.7500  2 O 2.06-2.07
13 Hg 0.5257 0.1683 0.2500  2 O 2.06-2.07
14 Hg 0.5257 0.3317 0.7500  2 O 2.06-2.07
15 Hg 0.7967 0.5817 0.7500  2 O 2.10-2.12
16 Hg 0.7967 0.9183 0.2500  2 O 2.10-2.12
17 H 0.3186 0.1923 0.5308  1 O 1.01
18 H 0.3186 0.1923 0.9692  1 O 1.01
19 H 0.3186 0.3077 0.0308  1 O 1.01
20 H 0.3186 0.3077 0.4692  1 O 1.01
21 H 0.6814 0.6923 0.5308  1 O 1.01
22 H 0.6814 0.6923 0.9692  1 O 1.01
23 H 0.6814 0.8077 0.0308  1 O 1.01
24 H 0.6814 0.8077 0.4692  1 O 1.01
25 S 0.2640 0.5910 0.5771  4 O 1.48-1.50
26 S 0.2640 0.5910 0.9229  4 O 1.48-1.50
27 S 0.2640 0.9090 0.0771  4 O 1.48-1.50
28 S 0.2640 0.9090 0.4229  4 O 1.48-1.50
29 S 0.7360 0.0910 0.5771  4 O 1.48-1.50
30 S 0.7360 0.0910 0.9229  4 O 1.48-1.50
31 S 0.7360 0.4091 0.0771  4 O 1.48-1.50
32 S 0.7360 0.4091 0.4229  4 O 1.48-1.50
33 O 0.1053 0.6646 0.6342  1 S 1.50
34 O 0.1053 0.6646 0.8658  1 S 1.50
35 O 0.1053 0.8354 0.1342  1 S 1.50
36 O 0.1053 0.8354 0.3658  1 S 1.50
37 O 0.1645 0.6012 0.2500  2 Hg 2.07-2.10, 2 Zn 2.17
38 O 0.1645 0.8988 0.7500  2 Hg 2.07-2.10, 2 Zn 2.17
39 O 0.2153 0.2323 0.2500  2 Hg 2.06-2.12, 2 Zn 2.18
40 O 0.2153 0.2677 0.7500  2 Hg 2.06-2.12, 2 Zn 2.18
41 O 0.2159 0.2500 0.0000  2 H 1.01
42 O 0.2159 0.2500 0.5000  2 H 1.01
43 O 0.2175 0.5970 0.0328  1 S 1.49
44 O 0.2175 0.5970 0.4672  1 S 1.49
45 O 0.2175 0.9030 0.5328  1 S 1.49
46 O 0.2175 0.9030 0.9672  1 S 1.49
47 O 0.2448 0.0319 0.1146  1 S 1.49
48 O 0.2448 0.0319 0.3854  1 S 1.49
49 O 0.2448 0.4681 0.6146  1 S 1.49
50 O 0.2448 0.4681 0.8854  1 S 1.49
51 O 0.4845 0.6328 0.5988  1 S 1.48
52 O 0.4845 0.6328 0.9012  1 S 1.48
53 O 0.4845 0.8672 0.0988  1 S 1.48
54 O 0.4845 0.8672 0.4012  1 S 1.48
55 O 0.5155 0.1328 0.5988  1 S 1.48
56 O 0.5155 0.1328 0.9012  1 S 1.48
57 O 0.5155 0.3672 0.0988  1 S 1.48
58 O 0.5155 0.3672 0.4012  1 S 1.48
59 O 0.7552 0.5319 0.1146  1 S 1.49
60 O 0.7552 0.5319 0.3854  1 S 1.49
61 O 0.7552 0.9681 0.6146  1 S 1.49
62 O 0.7552 0.9681 0.8854  1 S 1.49
63 O 0.7825 0.0970 0.0328  1 S 1.49
64 O 0.7825 0.0970 0.4672  1 S 1.49
65 O 0.7825 0.4030 0.5328  1 S 1.49
66 O 0.7825 0.4030 0.9672  1 S 1.49
67 O 0.7841 0.7500 0.0000  2 H 1.01
68 O 0.7841 0.7500 0.5000  2 H 1.01
69 O 0.7847 0.7323 0.2500  2 Hg 2.06-2.12, 2 Zn 2.18
70 O 0.7847 0.7677 0.7500  2 Hg 2.06-2.12, 2 Zn 2.18
71 O 0.8355 0.1012 0.2500  2 Hg 2.07-2.10, 2 Zn 2.17
72 O 0.8355 0.3988 0.7500  2 Hg 2.07-2.10, 2 Zn 2.17
73 O 0.8947 0.1646 0.6342  1 S 1.50
74 O 0.8947 0.1646 0.8658  1 S 1.50
75 O 0.8947 0.3354 0.1342  1 S 1.50
76 O 0.8947 0.3354 0.3658  1 S 1.50

Which formula does entry 3 have?
HgHS2O8